CdSbRh2: optimized geometry, PBE.

Uncorrected formation energy in eV/atom: -0.232

Cell and atoms, written as CIF:
```
data_CdSbRh2
_cell_length_a 3.329
_cell_length_b 3.263
_cell_length_c 7.174
_cell_angle_alpha 62.84
_cell_angle_beta 90.00
_cell_angle_gamma 90.00
_symmetry_space_group_name_H-M 'P 1'
_symmetry_Int_Tables_number 1
loop_
_symmetry_equiv_pos_as_xyz
'x,y,z'
loop_
_atom_site_label
_atom_site_type_symbol
_atom_site_fract_x
_atom_site_fract_y
_atom_site_fract_z
Sb1 Sb 0.500 0.250 0.250
Rh1 Rh 0.000 0.982 0.018
Rh2 Rh 0.000 0.518 0.482
Cd1 Cd 0.500 0.750 0.750
```

***

KPW2: optimized geometry, PBE.

Excess energy over the best structure of this formula in the dataset in meV/atom: 0.0
DFT formation energy in meV/atom: 424

Cell and atoms, written as CIF:
```
data_KPW2
_cell_length_a 4.196
_cell_length_b 3.184
_cell_length_c 7.181
_cell_angle_alpha 77.79
_cell_angle_beta 90.00
_cell_angle_gamma 90.00
_symmetry_space_group_name_H-M 'P 1'
_symmetry_Int_Tables_number 1
loop_
_symmetry_equiv_pos_as_xyz
'x,y,z'
loop_
_atom_site_label
_atom_site_type_symbol
_atom_site_fract_x
_atom_site_fract_y
_atom_site_fract_z
K1 K 0.000 0.534 0.542
P1 P 0.500 0.898 0.827
W1 W 0.000 0.795 0.043
W2 W 0.500 0.273 0.089
```

***

CaMoRh2: optimized geometry, PBE.

Excess energy over the best structure of this formula in the dataset in meV/atom: 309.4
DFT formation energy in meV/atom: 167

Cell and atoms, written as CIF:
```
data_CaMoRh2
_cell_length_a 2.829
_cell_length_b 4.267
_cell_length_c 6.002
_cell_angle_alpha 90.00
_cell_angle_beta 90.00
_cell_angle_gamma 90.00
_symmetry_space_group_name_H-M 'P 1'
_symmetry_Int_Tables_number 1
loop_
_symmetry_equiv_pos_as_xyz
'x,y,z'
loop_
_atom_site_label
_atom_site_type_symbol
_atom_site_fract_x
_atom_site_fract_y
_atom_site_fract_z
Mo1 Mo 0.500 0.500 0.832
Rh1 Rh 0.000 0.000 0.966
Rh2 Rh 0.500 0.500 0.233
Ca1 Ca 0.000 0.000 0.468
```

***

Please write out number 1 again, unchanged.
CdSbRh2: optimized geometry, PBE.

Uncorrected formation energy in eV/atom: -0.232

Cell and atoms, written as CIF:
```
data_CdSbRh2
_cell_length_a 3.329
_cell_length_b 3.263
_cell_length_c 7.174
_cell_angle_alpha 62.84
_cell_angle_beta 90.00
_cell_angle_gamma 90.00
_symmetry_space_group_name_H-M 'P 1'
_symmetry_Int_Tables_number 1
loop_
_symmetry_equiv_pos_as_xyz
'x,y,z'
loop_
_atom_site_label
_atom_site_type_symbol
_atom_site_fract_x
_atom_site_fract_y
_atom_site_fract_z
Sb1 Sb 0.500 0.250 0.250
Rh1 Rh 0.000 0.982 0.018
Rh2 Rh 0.000 0.518 0.482
Cd1 Cd 0.500 0.750 0.750
```

***

What is the formula in the third record?
CaMoRh2